Record 1
# MgNpN2 PBE relaxed
data_MgNpN2
_cell_length_a 3.2418
_cell_length_b 3.2418
_cell_length_c 16.8634
_cell_angle_alpha 90.00
_cell_angle_beta 90.00
_cell_angle_gamma 120.00
_space_group_name_H-M_alt 'R 3 m'
_space_group_IT_number 160
_space_group_name_Hall 'R 3 -2"'
loop_
_atom_site_label
_atom_site_type_symbol
_atom_site_fract_x
_atom_site_fract_y
_atom_site_fract_z
Mg1 Mg 0.0000 0.0000 0.0000
Np1 Np 0.0000 0.0000 0.8267
N1 N 0.0000 0.0000 0.4088
N2 N 0.0000 0.0000 0.5780
# Uncorrected energy (eV/atom): -8.600
# Density of states at the Fermi level (states/eV per cell): 16.8
# M_tot (μB/f.u.): 2.98

Record 2
# Mg3NpN4 PBE relaxed
data_Mg3NpN4
_cell_length_a 5.5184
_cell_length_b 6.3625
_cell_length_c 5.6829
_cell_angle_alpha 90.00
_cell_angle_beta 111.18
_cell_angle_gamma 90.00
_space_group_name_H-M_alt 'P 1 2/c 1'
_space_group_IT_number 13
loop_
_space_group_symop_operation_xyz
'x,y,z'
'-x,-y,-z'
'-x,y,-z+1/2'
'x,-y,z+1/2'
loop_
_atom_site_label
_atom_site_type_symbol
_atom_site_fract_x
_atom_site_fract_y
_atom_site_fract_z
Mg1 Mg 0.0000 0.1092 0.2500
Mg2 Mg 0.0000 0.3690 0.7500
Mg3 Mg 0.5000 0.1258 0.7500
Np1 Np 0.5000 0.3583 0.2500
N1 N 0.2526 0.1309 0.0127
N2 N 0.2713 0.3905 0.5032
# Uncorrected energy (eV/atom): -7.343
# Density of states at the Fermi level (states/eV per cell): 1.6
# M_tot (μB/f.u.): 1.00

Record 3
# Mg5NpN6 PBE relaxed
data_Mg5NpN6
_cell_length_a 5.4477
_cell_length_b 9.4650
_cell_length_c 5.4299
_cell_angle_alpha 90.00
_cell_angle_beta 109.43
_cell_angle_gamma 90.00
_space_group_name_H-M_alt 'C 1 2/m 1'
_space_group_IT_number 12
loop_
_space_group_symop_operation_xyz
'x,y,z'
'-x,-y,-z'
'-x,y,-z'
'x,-y,z'
'x+1/2,y+1/2,z'
'-x+1/2,-y+1/2,-z'
'-x+1/2,y+1/2,-z'
'x+1/2,-y+1/2,z'
loop_
_atom_site_label
_atom_site_type_symbol
_atom_site_fract_x
_atom_site_fract_y
_atom_site_fract_z
Mg1 Mg 0.0000 0.0000 0.0000
Mg2 Mg 0.0000 0.1672 0.5000
Mg3 Mg 0.0000 0.3272 0.0000
Np1 Np 0.0000 0.5000 0.5000
N1 N 0.2330 0.5000 0.2670
N2 N 0.2421 0.3410 0.7445
# Uncorrected energy (eV/atom): -6.728
# Density of states at the Fermi level (states/eV per cell): 17.7
# M_tot (μB/f.u.): 0.00

Record 4
# Mg4NpN5 PBE relaxed
data_Mg4NpN5
_cell_length_a 6.9942
_cell_length_b 6.9942
_cell_length_c 4.5572
_cell_angle_alpha 90.00
_cell_angle_beta 90.00
_cell_angle_gamma 90.00
_space_group_name_H-M_alt 'I 4/m'
_space_group_IT_number 87
_space_group_name_Hall '-I 4'
loop_
_atom_site_label
_atom_site_type_symbol
_atom_site_fract_x
_atom_site_fract_y
_atom_site_fract_z
Mg1 Mg 0.0957 0.6974 0.0000
Np1 Np 0.0000 0.0000 0.5000
N1 N 0.0000 0.0000 0.0000
N2 N 0.0885 0.7167 0.5000
# Uncorrected energy (eV/atom): -7.037
# M_tot (μB/f.u.): 0.00

Asked for E_form (uncorrected) across the records above, the calculation gives -0.8032; -0.9650; -0.8228; -0.9421 eV per atom in order.